(1)
The following is a PBE calculation of an optimized crystal structure of Pr4SmY8, from Alexandria via LeMat-Bulk.

extended XYZ file:
```
13
Lattice="5.5805 3.2219 4.5512 -5.5805 3.2219 4.5512 0.0000 -6.4438 4.5512" Properties=species:S:1:pos:R:3 pbc="T T T"
Pr 0.0000 0.0000 0.0000
Pr -2.7903 -1.6110 4.5512
Pr -2.7902 1.6109 9.1025
Pr 0.0000 3.2219 4.5512
Sm 0.0000 0.0000 6.8268
Y 0.0000 0.0000 3.2760
Y 0.0000 -3.3513 5.6398
Y -2.9023 1.6756 5.6398
Y -2.9023 -1.6756 8.0139
Y 2.9023 1.6756 5.6398
Y 2.9023 -1.6756 8.0139
Y 0.0000 3.3513 8.0139
Y 0.0000 0.0000 10.3777
```

Summary:
* density of states at the Fermi level: 1.74 states/eV per atom
* final energy: -5.29 eV/atom
* space group: R-3m (166)
* E_form: 0.517 eV per atom

=====

(2)
The following is a PBE calculation of an optimized crystal structure of KPr2BiO5, from Alexandria via LeMat-Bulk.

extended XYZ file:
```
18
Lattice="6.9668 0.0000 0.0000 0.0000 6.9668 0.0000 0.0000 0.0000 6.5382" Properties=species:S:1:pos:R:3 pbc="T T T"
K 0.0000 0.0000 0.0000
K 3.4834 3.4834 0.0000
Pr 1.2294 2.2540 3.2691
Pr 2.2540 5.7374 3.2691
Pr 4.7128 1.2294 3.2691
Pr 5.7374 4.7128 3.2691
Bi 0.0000 3.4834 0.0000
Bi 3.4834 0.0000 0.0000
O 0.0000 0.0000 3.2691
O 1.0093 4.4927 1.7456
O 1.0093 4.4927 4.7926
O 2.4741 1.0093 1.7456
O 2.4741 1.0093 4.7926
O 3.4834 3.4834 3.2691
O 4.4927 5.9575 1.7456
O 4.4927 5.9575 4.7926
O 5.9575 2.4741 1.7456
O 5.9575 2.4741 4.7926
```

Summary:
* formation energy without anion corrections: -19.81 eV/f.u.
* final energy: -6.57 eV/atom
* space group: P4/mbm (127)

=====

(3)
The following is a PBE calculation of an optimized crystal structure of Zr3In2I9, from Alexandria via LeMat-Bulk.

extended XYZ file:
```
28
Lattice="5.8148 -9.5876 0.0000 5.8148 9.5876 0.0000 -4.5417 0.0000 10.0143" Properties=species:S:1:pos:R:3 pbc="T T T"
Zr -1.3436 1.7153 6.4402
Zr -0.1885 0.0000 3.6981
Zr -1.3436 -1.7153 6.4402
Zr 8.4315 1.7153 3.5740
Zr 7.2764 0.0000 6.3161
Zr 8.4315 -1.7153 3.5740
In 3.8326 3.1257 1.6239
In 3.2553 3.1257 8.3904
In 3.8326 -3.1257 1.6239
In 3.2553 -3.1257 8.3904
I 4.8514 7.5691 1.7706
I -0.1824 3.9271 8.3655
I 2.2365 7.5691 8.2437
I 1.2511 2.0568 5.1729
I 3.5439 5.5194 5.0071
I 2.4022 0.0000 2.0279
I -0.0415 0.0000 8.3862
I 1.2511 -2.0568 5.1729
I 7.2702 3.9271 1.6488
I -0.1824 -3.9271 8.3655
I 5.8368 2.0568 4.8414
I 7.1294 0.0000 1.6280
I 4.6856 0.0000 7.9864
I 3.5439 -5.5194 5.0071
I 5.8368 -2.0568 4.8414
I 4.8514 -7.5691 1.7706
I 7.2702 -3.9271 1.6488
I 2.2365 -7.5691 8.2437
```

Summary:
* density of states at the Fermi level: 0.39 states/eV per atom
* formation energy without anion corrections: -9.87 eV/f.u.
* final energy: -3.92 eV/atom
* space group: C2/m (12)